Record 1
! Ce2MnN3 (PBE, relaxed); values from VASP
! V ... 81.35 Å³/cell
! Energy relative to the elements, uncorrected ... -1.25 eV per atom
! Uncorrected energy ... -8.9225 eV per atom
&SYSTEM
  ibrav = 0, nat = 6, ntyp = 3
/
ATOMIC_SPECIES
Ce 140.12 Ce.upf
Mn 54.94 Mn.upf
N 14.01 N.upf
CELL_PARAMETERS angstrom
-1.730 1.897 6.197
1.730 -1.897 6.197
1.730 1.897 -6.197
ATOMIC_POSITIONS crystal
Ce 0.146 0.146 0.000
Ce 0.854 0.854 0.000
Mn 0.500 0.500 0.000
N 0.000 0.500 0.500
N 0.337 0.337 0.000
N 0.663 0.663 0.000


Record 2
! Ce12Mn3N5 (PBE, relaxed); values from VASP
! V ... 1768.74 Å³/cell
! Energy relative to the elements, uncorrected ... -0.45 eV per atom
! Uncorrected energy ... -7.4697 eV per atom
&SYSTEM
  ibrav = 0, nat = 80, ntyp = 3
/
ATOMIC_SPECIES
Ce 140.12 Ce.upf
Mn 54.94 Mn.upf
N 14.01 N.upf
CELL_PARAMETERS angstrom
-7.618 7.618 7.618
7.618 -7.618 7.618
7.618 7.618 -7.618
ATOMIC_POSITIONS crystal
Ce 0.029 0.208 0.121
Ce 0.029 0.321 0.908
Ce 0.087 0.708 0.679
Ce 0.087 0.879 0.408
Ce 0.092 0.621 0.413
Ce 0.092 0.971 0.679
Ce 0.121 0.029 0.208
Ce 0.121 0.592 0.913
Ce 0.179 0.208 0.587
Ce 0.179 0.471 0.592
Ce 0.208 0.121 0.029
Ce 0.208 0.587 0.179
Ce 0.292 0.321 0.913
Ce 0.292 0.471 0.379
Ce 0.321 0.908 0.029
Ce 0.321 0.913 0.292
Ce 0.379 0.292 0.471
Ce 0.379 0.587 0.908
Ce 0.408 0.087 0.879
Ce 0.408 0.821 0.529
Ce 0.413 0.092 0.621
Ce 0.413 0.821 0.792
Ce 0.471 0.379 0.292
Ce 0.471 0.592 0.179
Ce 0.529 0.408 0.821
Ce 0.529 0.621 0.708
Ce 0.587 0.179 0.208
Ce 0.587 0.908 0.379
Ce 0.592 0.179 0.471
Ce 0.592 0.913 0.121
Ce 0.621 0.413 0.092
Ce 0.621 0.708 0.529
Ce 0.679 0.087 0.708
Ce 0.679 0.092 0.971
Ce 0.708 0.529 0.621
Ce 0.708 0.679 0.087
Ce 0.792 0.413 0.821
Ce 0.792 0.879 0.971
Ce 0.821 0.529 0.408
Ce 0.821 0.792 0.413
Ce 0.879 0.408 0.087
Ce 0.879 0.971 0.792
Ce 0.908 0.029 0.321
Ce 0.908 0.379 0.587
Ce 0.913 0.121 0.592
Ce 0.913 0.292 0.321
Ce 0.971 0.679 0.092
Ce 0.971 0.792 0.879
Mn 0.125 0.250 0.375
Mn 0.125 0.375 0.750
Mn 0.250 0.375 0.125
Mn 0.250 0.875 0.625
Mn 0.375 0.125 0.250
Mn 0.375 0.750 0.125
Mn 0.625 0.250 0.875
Mn 0.625 0.875 0.750
Mn 0.750 0.125 0.375
Mn 0.750 0.625 0.875
Mn 0.875 0.625 0.250
Mn 0.875 0.750 0.625
N 0.000 0.000 0.000
N 0.000 0.000 0.500
N 0.000 0.500 0.000
N 0.000 0.500 0.500
N 0.125 0.750 0.875
N 0.125 0.875 0.250
N 0.250 0.125 0.875
N 0.250 0.625 0.375
N 0.375 0.250 0.625
N 0.375 0.625 0.750
N 0.500 0.000 0.000
N 0.500 0.000 0.500
N 0.500 0.500 0.000
N 0.500 0.500 0.500
N 0.625 0.375 0.250
N 0.625 0.750 0.375
N 0.750 0.375 0.625
N 0.750 0.875 0.125
N 0.875 0.125 0.750
N 0.875 0.250 0.125


What did the first record say?
! Ce2MnN3 (PBE, relaxed); values from VASP
! V ... 81.35 Å³/cell
! Energy relative to the elements, uncorrected ... -1.25 eV per atom
! Uncorrected energy ... -8.9225 eV per atom
&SYSTEM
  ibrav = 0, nat = 6, ntyp = 3
/
ATOMIC_SPECIES
Ce 140.12 Ce.upf
Mn 54.94 Mn.upf
N 14.01 N.upf
CELL_PARAMETERS angstrom
-1.730 1.897 6.197
1.730 -1.897 6.197
1.730 1.897 -6.197
ATOMIC_POSITIONS crystal
Ce 0.146 0.146 0.000
Ce 0.854 0.854 0.000
Mn 0.500 0.500 0.000
N 0.000 0.500 0.500
N 0.337 0.337 0.000
N 0.663 0.663 0.000


> Which formula does entry 2 have?

Ce12Mn3N5


> What is the V in the second record?

1768.74 Å³/cell


> Which of these has the lowest V?

Ce2MnN3